Version P
Density functional theory data (PBE) for a relaxed KBaZr2 crystal.

Values from the calculation:
**Crystal system**: orthorhombic
**Total magnetization**: 0.00 μB/atom
**V**: 32.11 A^3/atom
**DOS at the Fermi energy**: 6.6 states/eV/f.u.

a b c (Å): 3.2974 3.2974 13.3620
angles (deg): 90.00 90.00 117.87
Last column: nearest neighbours and their distance in Å.
Fractional positions:
1 Ba 0.5000 0.5000 0.2500  6 Ba 3.30-3.40, 4 Zr 3.61
2 K 0.5000 0.5000 0.7500  6 K 3.30-3.40
3 Zr 0.0000 0.0000 0.0118  6 Zr 3.30-3.40, 2 Ba 3.61
4 Zr 0.0000 0.0000 0.4882  6 Zr 3.30-3.40, 2 Ba 3.61



Version Q
Density functional theory data (PBE) for a relaxed KBaZr2 crystal.

Values from the calculation:
**Crystal system**: tetragonal
**Total magnetization**: 0.17 μB/atom
**V**: 32.51 A^3/atom
**DOS at the Fermi energy**: 7.5 states/eV/f.u.

a b c (Å): 6.9499 6.9499 6.9499
angles (deg): 141.33 141.33 55.84
Last column: nearest neighbours and their distance in Å.
Fractional positions:
1 Ba 0.2500 0.7500 0.5000  4 K 3.25
2 K 0.7500 0.2500 0.5000  4 Ba 3.25
3 Zr 0.0000 0.0000 0.0000  4 Zr 3.25
4 Zr 0.5000 0.5000 0.0000  4 Zr 3.25



Version R
Density functional theory data (PBE) for a relaxed KBaZr2 crystal.

Values from the calculation:
**Crystal system**: tetragonal
**Total magnetization**: 0.08 μB/atom
**V**: 36.10 A^3/atom
**DOS at the Fermi energy**: 4.6 states/eV/f.u.

a b c (Å): 3.4124 3.4124 12.4005
angles (deg): 90.00 90.00 90.00
Last column: nearest neighbours and their distance in Å.
Fractional positions:
1 Ba 0.0000 0.0000 0.4581  4 Ba 3.41
2 K 0.5000 0.5000 0.7812  4 K 3.41
3 Zr 0.0000 0.0000 0.0520  8 Zr 3.10-3.41
4 Zr 0.5000 0.5000 0.2087  8 Zr 3.10-3.41



Version S
Density functional theory data (PBE) for a relaxed KBaZr2 crystal.

Values from the calculation:
**Crystal system**: tetragonal
**Total magnetization**: 0.00 μB/atom
**V**: 34.37 A^3/atom
**DOS at the Fermi energy**: 5.7 states/eV/f.u.

a b c (Å): 9.4831 9.4831 7.3696
angles (deg): 49.95 49.95 90.00
Last column: nearest neighbours and their distance in Å.
Fractional positions:
1 K 0.5000 0.5000 0.0000  2 Ba 3.06
2 K 0.2500 0.7500 0.5000  2 Ba 3.06
3 Ba 0.0000 0.0000 0.0000  2 K 3.06
4 Ba 0.7500 0.2500 0.5000  2 K 3.06
5 Zr 0.6242 0.1250 0.2500  2 Zr 3.06
6 Zr 0.1258 0.6250 0.2500  2 Zr 3.06
7 Zr 0.3750 0.3758 0.7500  2 Zr 3.06
8 Zr 0.8750 0.8742 0.7500  2 Zr 3.06



From most stable to least stable, the computed energies give version R, version P, version Q, version S.



Version P
Density functional theory data (PBE) for a relaxed KBaZr2 crystal.

Values from the calculation:
**Crystal system**: tetragonal
**Total magnetization**: 0.22 μB/atom
**V**: 32.45 A^3/atom
**DOS at the Fermi energy**: 7.3 states/eV/f.u.

a b c (Å): 6.1399 4.5978 4.5978
angles (deg): 90.00 90.00 90.00
Last column: nearest neighbours and their distance in Å.
Fractional positions:
1 Ba 0.5000 0.5000 0.0000  4 K 3.25
2 K 0.5000 0.0000 0.5000  4 Ba 3.25
3 Zr 0.0000 0.0000 0.0000  4 Zr 3.25
4 Zr 0.0000 0.5000 0.5000  4 Zr 3.25



Version Q
Density functional theory data (PBE) for a relaxed KBaZr2 crystal.

Values from the calculation:
**Crystal system**: monoclinic
**Total magnetization**: 0.00 μB/atom
**V**: 38.51 A^3/atom
**DOS at the Fermi energy**: 4.4 states/eV/f.u.

a b c (Å): 4.1385 3.5531 11.0853
angles (deg): 70.91 90.00 90.00
Last column: nearest neighbours and their distance in Å.
Fractional positions:
1 Ba 0.0000 0.5619 0.4312  2 Ba 3.55, 5 Zr 3.69-3.76
2 K 0.5000 0.7039 0.8027  2 K 3.55, 4 Zr 3.92-3.93
3 Zr 0.0000 0.9294 0.0721  4 Zr 3.01
4 Zr 0.5000 0.3048 0.1940  4 Zr 3.01



Version R
Density functional theory data (PBE) for a relaxed KBaZr2 crystal.

Values from the calculation:
**Crystal system**: monoclinic
**Total magnetization**: 0.00 μB/atom
**V**: 38.75 A^3/atom
**DOS at the Fermi energy**: 4.8 states/eV/f.u.

a b c (Å): 6.5637 6.5637 7.5298
angles (deg): 87.17 87.17 28.59
Last column: nearest neighbours and their distance in Å.
Fractional positions:
1 Ba 0.7500 0.7500 0.7500  2 Ba 3.24, 2 Zr 3.51
2 K 0.2500 0.2500 0.2500  2 K 3.24
3 Zr 0.0037 0.0037 0.9118  4 Zr 2.93-3.24
4 Zr 0.4963 0.4963 0.5882  4 Zr 2.93-3.24



From most stable to least stable, the computed energies give version Q, version R, version P.



Version P
Density functional theory data (PBE) for a relaxed KBaZr2 crystal.

Values from the calculation:
**Crystal system**: orthorhombic
**Total magnetization**: 0.00 μB/atom
**V**: 36.36 A^3/atom
**DOS at the Fermi energy**: 5.9 states/eV/f.u.

a b c (Å): 7.5337 7.5337 7.5337
angles (deg): 154.55 127.20 59.50
Last column: nearest neighbours and their distance in Å.
Fractional positions:
1 Ba 0.5171 0.5171 0.0000  2 Ba 3.32
2 K 0.2296 0.7296 0.5000  2 K 3.32
3 Zr 0.9647 0.9647 0.0000  2 Zr 2.84
4 Zr 0.7886 0.2886 0.5000  2 Zr 2.84



Version Q
Density functional theory data (PBE) for a relaxed KBaZr2 crystal.

Values from the calculation:
**Crystal system**: tetragonal
**Total magnetization**: 0.31 μB/atom
**V**: 33.41 A^3/atom
**DOS at the Fermi energy**: 6.0 states/eV/f.u.

a b c (Å): 3.2311 3.2311 12.7992
angles (deg): 90.00 90.00 90.00
Last column: nearest neighbours and their distance in Å.
Fractional positions:
1 Ba 0.5000 0.5000 0.2500  4 Ba 3.23
2 K 0.5000 0.5000 0.7500  4 K 3.23
3 Zr 0.0000 0.0000 0.0157  4 Zr 3.23
4 Zr 0.0000 0.0000 0.4843  4 Zr 3.23



From most stable to least stable, the computed energies give version P, version Q.



Version P
Density functional theory data (PBE) for a relaxed KBaZr2 crystal.

Values from the calculation:
**Crystal system**: cubic
**Total magnetization**: 0.23 μB/atom
**V**: 33.52 A^3/atom
**DOS at the Fermi energy**: 8.0 states/eV/f.u.

a b c (Å): 5.7452 5.7452 5.7452
angles (deg): 60.00 60.00 60.00
Last column: nearest neighbours and their distance in Å.
Fractional positions:
1 K 0.0000 0.0000 0.0000  8 Zr 3.52
2 Ba 0.5000 0.5000 0.5000  8 Zr 3.52
3 Zr 0.2500 0.2500 0.2500  4 Ba 3.52, 4 K 3.52
4 Zr 0.7500 0.7500 0.7500  4 Ba 3.52, 4 K 3.52



Version Q
Density functional theory data (PBE) for a relaxed KBaZr2 crystal.

Values from the calculation:
**Crystal system**: orthorhombic
**Total magnetization**: 0.23 μB/atom
**V**: 32.66 A^3/atom
**DOS at the Fermi energy**: 6.8 states/eV/f.u.

a b c (Å): 3.2126 6.2366 6.5202
angles (deg): 90.00 90.00 90.00
Last column: nearest neighbours and their distance in Å.
Fractional positions:
1 Ba 0.5000 0.5000 0.2500  2 Ba 3.21, 2 K 3.26
2 K 0.5000 0.5000 0.7500  2 K 3.21, 2 Ba 3.26
3 Zr 0.0000 0.0000 0.0124  4 Zr 3.10-3.42
4 Zr 0.0000 0.0000 0.4876  4 Zr 3.10-3.42



From most stable to least stable, the computed energies give version Q, version P.



Version P
Density functional theory data (PBE) for a relaxed KBaZr crystal.

Values from the calculation:
**Crystal system**: triclinic
**Total magnetization**: 0.00 μB/atom
**V**: 45.63 A^3/atom
**DOS at the Fermi energy**: 3.9 states/eV/f.u.

a b c (Å): 3.6480 7.9124 10.4502
angles (deg): 109.81 95.64 101.35
Last column: nearest neighbours and their distance in Å.
Fractional positions:
1 K 0.0662 0.1933 0.5143  2 K 3.65, 2 Zr 3.90-3.91
2 K 0.9691 0.6252 0.3828  2 K 3.65, 3 Zr 3.97-4.08, 1 Ba 4.06
3 Ba 0.7684 0.4253 0.9628  2 Ba 3.65, 4 Zr 3.70-3.82, 1 K 4.06
4 Ba 0.6760 0.8530 0.8197  2 Zr 3.54, 2 Ba 3.65
5 Zr 0.4786 0.8715 0.1488  1 Zr 2.58
6 Zr 0.2330 0.1544 0.1434  1 Zr 2.58



Version Q
Density functional theory data (PBE) for a relaxed KBaZr crystal.

Values from the calculation:
**Crystal system**: orthorhombic
**Total magnetization**: 0.78 μB/atom
**V**: 41.43 A^3/atom
**DOS at the Fermi energy**: 6.2 states/eV/f.u.

a b c (Å): 6.8450 6.8450 6.8450
angles (deg): 150.14 128.28 60.87
Last column: nearest neighbours and their distance in Å.
Fractional positions:
1 Ba 0.9913 0.9913 0.0000  2 Ba 3.53, 1 K 3.79, 4 Zr 3.91
2 K 0.6698 0.6698 0.0000  2 K 3.53, 1 Ba 3.79, 1 Zr 3.91
3 Zr 0.3389 0.3389 0.0000  2 Zr 3.53, 4 Ba 3.91, 1 K 3.91



Version R
Density functional theory data (PBE) for a relaxed KBaZr crystal.

Values from the calculation:
**Crystal system**: trigonal
**Total magnetization**: 0.25 μB/atom
**V**: 39.71 A^3/atom
**DOS at the Fermi energy**: 4.1 states/eV/f.u.

a b c (Å): 3.6752 3.6752 10.1853
angles (deg): 90.00 90.00 120.00
Last column: nearest neighbours and their distance in Å.
Fractional positions:
1 Ba 0.0000 0.0000 0.9609  3 Zr 3.55, 6 Ba 3.68
2 K 0.6667 0.3333 0.3577  6 K 3.68, 3 Zr 3.92
3 Zr 0.3333 0.6667 0.6814  3 Ba 3.55, 6 Zr 3.68, 3 K 3.92



From most stable to least stable, the computed energies give version P, version R, version Q.



Version P
Density functional theory data (PBE) for a relaxed K3BaZr crystal.

Values from the calculation:
**Crystal system**: cubic
**Total magnetization**: 0.96 μB/atom
**V**: 64.14 A^3/atom
**DOS at the Fermi energy**: 5.1 states/eV/f.u.

a b c (Å): 6.8448 6.8448 6.8448
angles (deg): 90.00 90.00 90.00
Last column: nearest neighbours and their distance in Å.
Fractional positions:
1 K 0.0000 0.5000 0.0000  2 Zr 3.42
2 K 0.0000 0.0000 0.5000  2 Zr 3.42
3 K 0.5000 0.0000 0.0000  2 Zr 3.42
4 Ba 0.5000 0.5000 0.5000  12 K 4.84
5 Zr 0.0000 0.0000 0.0000  6 K 3.42



Version Q
Density functional theory data (PBE) for a relaxed K3BaZr crystal.

Values from the calculation:
**Crystal system**: cubic
**Total magnetization**: 1.02 μB/atom
**V**: 65.77 A^3/atom
**DOS at the Fermi energy**: 10.0 states/eV/f.u.

a b c (Å): 6.9023 6.9023 6.9023
angles (deg): 90.00 90.00 90.00
Last column: nearest neighbours and their distance in Å.
Fractional positions:
1 K 0.0000 0.5000 0.0000  2 Ba 3.45
2 K 0.0000 0.0000 0.5000  2 Ba 3.45
3 K 0.5000 0.0000 0.0000  2 Ba 3.45
4 Ba 0.0000 0.0000 0.0000  6 K 3.45
5 Zr 0.5000 0.5000 0.5000  12 K 4.88



From most stable to least stable, the computed energies give version P, version Q.